A) The following is a PBE-GGA calculation of a geometry-optimized Tm8Co2Tc structure, from Alexandria via LeMat-Bulk.

Its space group is Cm (8). The volume comes out at 24.25 Å³ per atom. The calculated density is 9.756 g/cm³.

POSCAR file:
```
Tm8Co2Tc
1.0
4.066 -6.128 0.000
4.066 6.128 0.000
-1.713 0.000 5.353
Tm Co Tc
8 2 1
Direct
0.000 0.000 0.000 Tm
0.032 0.289 0.588 Tm
0.138 0.578 0.184 Tm
0.289 0.032 0.588 Tm
0.433 0.691 0.772 Tm
0.578 0.138 0.184 Tm
0.691 0.433 0.772 Tm
0.724 0.724 0.374 Tm
0.054 0.676 0.690 Co
0.676 0.054 0.690 Co
0.361 0.361 0.285 Tc
```

---

B) The following is a PBE-GGA calculation of a geometry-optimized Tm8Co2Tc structure, from Alexandria via LeMat-Bulk.

Its space group is C2/m (12). The volume comes out at 23.43 Å³ per atom. The calculated density is 10.100 g/cm³.

POSCAR file:
```
Tm8Co2Tc
1.0
8.421 -2.416 0.000
8.421 2.416 0.000
-2.040 0.000 6.334
Tm Co Tc
8 2 1
Direct
0.035 0.035 0.296 Tm
0.200 0.200 0.819 Tm
0.328 0.328 0.528 Tm
0.404 0.404 0.041 Tm
0.596 0.596 0.959 Tm
0.672 0.672 0.472 Tm
0.800 0.800 0.181 Tm
0.965 0.965 0.704 Tm
0.187 0.187 0.198 Co
0.813 0.813 0.802 Co
0.500 0.500 0.500 Tc
```

---

Preferred: B); penalty for the next structure: 53 meV per atom.